Record 1
Here is a geometry-optimized Na2B3C structure from Alexandria via LeMat-Bulk. Energies are from PBE.

Results
The total energy comes out at -5.15 eV/atom. For the density of states at the Fermi level, the calculation gives 0.167 states/eV/atom. The value obtained for the energy above the most stable polymorph in this dataset is 36 meV per atom. The density is 2.4 Mg/m³.

Unit cell a=5.2297 b=7.4693 c=9.0992 alpha=106.75 beta=90.01 gamma=110.47
Space group P1 (No. 1)
Inequivalent atoms, fractional coordinates:
1 Na 0.0000 0.0000 0.0000 (multiplicity 1)
2 Na 0.0963 0.1991 0.4975 (multiplicity 1)
3 Na 0.1961 0.4023 0.0058 (multiplicity 1)
4 Na 0.2971 0.5986 0.4963 (multiplicity 1)
5 Na 0.3958 0.7987 0.9967 (multiplicity 1)
6 Na 0.4972 0.0004 0.5018 (multiplicity 1)
7 Na 0.5985 0.2013 0.0044 (multiplicity 1)
8 Na 0.6965 0.3970 0.4947 (multiplicity 1)
9 Na 0.8006 0.5994 0.0012 (multiplicity 1)
10 Na 0.8996 0.7986 0.4999 (multiplicity 1)
11 B 0.0663 0.5007 0.7498 (multiplicity 1)
12 B 0.1276 0.8994 0.2494 (multiplicity 1)
13 B 0.1995 0.1080 0.7498 (multiplicity 1)
14 B 0.2940 0.8947 0.7500 (multiplicity 1)
15 B 0.3155 0.2923 0.2494 (multiplicity 1)
16 B 0.3901 0.4902 0.7500 (multiplicity 1)
17 B 0.4854 0.7101 0.2503 (multiplicity 1)
18 B 0.5174 0.3012 0.7495 (multiplicity 1)
19 B 0.5991 0.5110 0.2504 (multiplicity 1)
20 B 0.6748 0.0887 0.2493 (multiplicity 1)
21 B 0.6997 0.7053 0.7501 (multiplicity 1)
22 B 0.7997 0.8992 0.2497 (multiplicity 1)
23 B 0.8656 0.0987 0.7501 (multiplicity 1)
24 B 0.9227 0.5068 0.2504 (multiplicity 1)
25 B 0.9876 0.2884 0.2497 (multiplicity 1)
26 C 0.0100 0.7034 0.7505 (multiplicity 1)
27 C 0.1868 0.7035 0.2500 (multiplicity 1)
28 C 0.3825 0.0952 0.2487 (multiplicity 1)
29 C 0.6063 0.8956 0.7499 (multiplicity 1)
30 C 0.8078 0.2994 0.7496 (multiplicity 1)

Record 2
Here is a geometry-optimized Na2B3C structure from Alexandria via LeMat-Bulk. Energies are from PBE.

Results
The total energy comes out at -5.14 eV/atom. For the density of states at the Fermi level, the calculation gives 0.165 states/eV/atom. The value obtained for the energy above the most stable polymorph in this dataset is 43 meV per atom. The density is 2.4 Mg/m³.

Unit cell a=17.2807 b=5.9202 c=4.9906 alpha=90.00 beta=90.02 gamma=90.00
Space group C2/c (No. 15)
Inequivalent atoms, fractional coordinates:
1 Na 0.0000 0.1250 0.2500 (multiplicity 4)
2 Na 0.0000 0.3754 0.7500 (multiplicity 4)
3 Na 0.2492 0.1240 0.2494 (multiplicity 8)
4 B 0.1245 0.1158 0.5858 (multiplicity 8)
5 B 0.1253 0.3596 0.0568 (multiplicity 8)
6 B 0.1253 0.3774 0.4313 (multiplicity 8)
7 C 0.1245 0.1183 0.9258 (multiplicity 8)

Record 3
Here is a geometry-optimized Na5B6C4 structure from Alexandria via LeMat-Bulk. Energies are from PBE.

Results
The total energy comes out at -5.51 eV/atom. For the density of states at the Fermi level, the calculation gives 0.143 states/eV/atom. The value obtained for the energy above the most stable polymorph in this dataset is 12 meV per atom. The density is 2.5 Mg/m³.

Unit cell a=22.6381 b=2.8330 c=9.8327 alpha=90.00 beta=107.98 gamma=90.00
Space group Cm (No. 8)
Inequivalent atoms, fractional coordinates:
1 Na 0.0000 0.0000 0.0000 (multiplicity 2)
2 Na 0.9998 0.5000 0.4988 (multiplicity 2)
3 Na 0.0994 0.5000 0.2010 (multiplicity 2)
4 Na 0.0997 0.0000 0.6998 (multiplicity 2)
5 Na 0.1992 0.0000 0.4008 (multiplicity 2)
6 Na 0.2001 0.5000 0.8988 (multiplicity 2)
7 Na 0.3001 0.0000 0.0980 (multiplicity 2)
8 Na 0.2995 0.5000 0.5984 (multiplicity 2)
9 Na 0.3993 0.0000 0.8002 (multiplicity 2)
10 Na 0.3995 0.5000 0.2993 (multiplicity 2)
11 B 0.0134 0.5000 0.7775 (multiplicity 2)
12 B 0.0827 0.5000 0.9156 (multiplicity 2)
13 B 0.0837 0.0000 0.4176 (multiplicity 2)
14 B 0.1222 0.0000 0.9945 (multiplicity 2)
15 B 0.1840 0.5000 0.6172 (multiplicity 2)
16 B 0.2162 0.5000 0.1826 (multiplicity 2)
17 B 0.2837 0.0000 0.8177 (multiplicity 2)
18 B 0.3109 0.0000 0.3712 (multiplicity 2)
19 B 0.3804 0.0000 0.5110 (multiplicity 2)
20 B 0.3837 0.5000 0.0181 (multiplicity 2)
21 B 0.4187 0.5000 0.5879 (multiplicity 2)
22 B 0.4839 0.0000 0.2181 (multiplicity 2)
23 C 0.0171 0.0000 0.2846 (multiplicity 2)
24 C 0.1172 0.5000 0.4842 (multiplicity 2)
25 C 0.1851 0.0000 0.1208 (multiplicity 2)
26 C 0.2174 0.0000 0.6834 (multiplicity 2)
27 C 0.2807 0.5000 0.3106 (multiplicity 2)
28 C 0.3168 0.5000 0.8852 (multiplicity 2)
29 C 0.4170 0.0000 0.0846 (multiplicity 2)
30 C 0.4826 0.5000 0.7157 (multiplicity 2)

Record 4
Here is a geometry-optimized Na2B3C structure from Alexandria via LeMat-Bulk. Energies are from PBE.

Results
The total energy comes out at -5.16 eV/atom. For the density of states at the Fermi level, the calculation gives 0.212 states/eV/atom. The value obtained for the energy above the most stable polymorph in this dataset is 20 meV per atom. The density is 2.4 Mg/m³.

Unit cell a=8.6114 b=2.8320 c=26.0021 alpha=90.00 beta=90.00 gamma=90.00
Space group Amm2 (No. 38)
Inequivalent atoms, fractional coordinates:
1 Na 0.2442 0.0000 0.0000 (multiplicity 4)
2 Na 0.2471 0.0000 0.4003 (multiplicity 4)
3 Na 0.2467 0.0000 0.8006 (multiplicity 4)
4 Na 0.2486 0.0000 0.6003 (multiplicity 4)
5 Na 0.2496 0.0000 0.2008 (multiplicity 4)
6 B 0.0000 0.0000 0.0740 (multiplicity 2)
7 B 0.0000 0.0000 0.2612 (multiplicity 2)
8 B 0.0000 0.0000 0.3312 (multiplicity 2)
9 B 0.0000 0.0000 0.4645 (multiplicity 2)
10 B 0.0000 0.0000 0.5339 (multiplicity 2)
11 B 0.0000 0.0000 0.6670 (multiplicity 2)
12 B 0.0000 0.0000 0.8704 (multiplicity 2)
13 B 0.5000 0.0000 0.0643 (multiplicity 2)
14 B 0.5000 0.0000 0.1276 (multiplicity 2)
15 B 0.5000 0.0000 0.2744 (multiplicity 2)
16 B 0.5000 0.0000 0.3415 (multiplicity 2)
17 B 0.5000 0.0000 0.5227 (multiplicity 2)
18 B 0.5000 0.0000 0.6703 (multiplicity 2)
19 B 0.5000 0.0000 0.7348 (multiplicity 2)
20 B 0.5000 0.0000 0.9328 (multiplicity 2)
21 C 0.0000 0.0000 0.1359 (multiplicity 2)
22 C 0.0000 0.0000 0.7306 (multiplicity 2)
23 C 0.0000 0.0000 0.9332 (multiplicity 2)
24 C 0.5000 0.0000 0.4633 (multiplicity 2)
25 C 0.5000 0.0000 0.8711 (multiplicity 2)

Record 5
Here is a geometry-optimized Na5B9C structure from Alexandria via LeMat-Bulk. Energies are from PBE.

Results
The total energy comes out at -4.79 eV/atom. For the density of states at the Fermi level, the calculation gives 0.445 states/eV/atom. The value obtained for the energy above the most stable polymorph in this dataset is 39 meV per atom. The density is 2.2 Mg/m³.

Unit cell a=2.9861 b=2.9861 c=43.1047 alpha=90.00 beta=90.00 gamma=120.00
Space group P-3m1 (No. 164)
Inequivalent atoms, fractional coordinates:
1 Na 0.0000 0.0000 0.0000 (multiplicity 1)
2 Na 0.0000 0.0000 0.1003 (multiplicity 2)
3 Na 0.0000 0.0000 0.2010 (multiplicity 2)
4 Na 0.0000 0.0000 0.3013 (multiplicity 2)
5 Na 0.0000 0.0000 0.3993 (multiplicity 2)
6 Na 0.0000 0.0000 0.5000 (multiplicity 1)
7 B 0.3333 0.6667 0.0502 (multiplicity 2)
8 B 0.3333 0.6667 0.1506 (multiplicity 2)
9 B 0.3333 0.6667 0.2511 (multiplicity 2)
10 B 0.3333 0.6667 0.4495 (multiplicity 2)
11 B 0.3333 0.6667 0.5505 (multiplicity 2)
12 B 0.3333 0.6667 0.6497 (multiplicity 2)
13 B 0.3333 0.6667 0.7489 (multiplicity 2)
14 B 0.3333 0.6667 0.8494 (multiplicity 2)
15 B 0.3333 0.6667 0.9498 (multiplicity 2)
16 C 0.3333 0.6667 0.3503 (multiplicity 2)

Record 6
Here is a geometry-optimized Na5B9C structure from Alexandria via LeMat-Bulk. Energies are from PBE.

Results
The total energy comes out at -4.81 eV/atom. For the density of states at the Fermi level, the calculation gives 0.271 states/eV/atom. The value obtained for the energy above the most stable polymorph in this dataset is 17 meV per atom. The density is 2.2 Mg/m³.

Unit cell a=5.1146 b=8.6738 c=7.9363 alpha=90.00 beta=108.80 gamma=90.00
Space group P2_1/m (No. 11)
Inequivalent atoms, fractional coordinates:
1 Na 0.0000 0.0000 0.0000 (multiplicity 2)
2 Na 0.1996 0.9997 0.4005 (multiplicity 4)
3 Na 0.4027 0.0012 0.8000 (multiplicity 4)
4 B 0.0723 0.7500 0.7821 (multiplicity 2)
5 B 0.0809 0.2500 0.8008 (multiplicity 2)
6 B 0.1102 0.2500 0.5824 (multiplicity 2)
7 B 0.2613 0.2500 0.1979 (multiplicity 2)
8 B 0.2683 0.7500 0.2053 (multiplicity 2)
9 B 0.3196 0.7500 0.0004 (multiplicity 2)
10 B 0.3370 0.2500 0.0058 (multiplicity 2)
11 B 0.4605 0.7500 0.5999 (multiplicity 2)
12 B 0.4640 0.2500 0.6024 (multiplicity 2)
13 C 0.1416 0.7500 0.5996 (multiplicity 2)

Record 7
Here is a geometry-optimized Na2B3C structure from Alexandria via LeMat-Bulk. Energies are from PBE.

Results
The total energy comes out at -5.17 eV/atom. For the density of states at the Fermi level, the calculation gives 0.187 states/eV/atom. The value obtained for the energy above the most stable polymorph in this dataset is 13 meV per atom. The density is 2.4 Mg/m³.

Unit cell a=23.3309 b=2.8157 c=10.0786 alpha=90.00 beta=106.66 gamma=90.00
Space group Cm (No. 8)
Inequivalent atoms, fractional coordinates:
1 Na 0.0000 0.0000 0.0000 (multiplicity 2)
2 Na 0.9997 0.5000 0.4989 (multiplicity 2)
3 Na 0.0972 0.5000 0.1990 (multiplicity 2)
4 Na 0.0985 0.0000 0.6970 (multiplicity 2)
5 Na 0.1977 0.0000 0.3978 (multiplicity 2)
6 Na 0.1989 0.5000 0.8972 (multiplicity 2)
7 Na 0.2993 0.0000 0.1007 (multiplicity 2)
8 Na 0.3002 0.5000 0.5991 (multiplicity 2)
9 Na 0.4007 0.5000 0.3000 (multiplicity 2)
10 Na 0.4024 0.0000 0.7993 (multiplicity 2)
11 B 0.0133 0.0000 0.2756 (multiplicity 2)
12 B 0.0818 0.5000 0.9161 (multiplicity 2)
13 B 0.1071 0.5000 0.4661 (multiplicity 2)
14 B 0.1717 0.0000 0.0967 (multiplicity 2)
15 B 0.1751 0.5000 0.6026 (multiplicity 2)
16 B 0.2131 0.5000 0.1789 (multiplicity 2)
17 B 0.2190 0.0000 0.6893 (multiplicity 2)
18 B 0.2768 0.5000 0.3036 (multiplicity 2)
19 B 0.2840 0.0000 0.8174 (multiplicity 2)
20 B 0.3202 0.0000 0.3880 (multiplicity 2)
21 B 0.3280 0.5000 0.9042 (multiplicity 2)
22 B 0.3843 0.0000 0.5156 (multiplicity 2)
23 B 0.4201 0.0000 0.0873 (multiplicity 2)
24 B 0.4247 0.5000 0.5966 (multiplicity 2)
25 B 0.4907 0.5000 0.7311 (multiplicity 2)
26 C 0.0207 0.5000 0.7925 (multiplicity 2)
27 C 0.0758 0.0000 0.4032 (multiplicity 2)
28 C 0.1123 0.0000 0.9785 (multiplicity 2)
29 C 0.3882 0.5000 0.0230 (multiplicity 2)
30 C 0.4823 0.0000 0.2118 (multiplicity 2)

Record 8
Here is a geometry-optimized NaBC structure from Alexandria via LeMat-Bulk. Energies are from PBE.

Results
The total energy comes out at -5.65 eV/atom. For the density of states at the Fermi level, the calculation gives 0.000 states/eV/atom. The density is 1.9 Mg/m³.

Unit cell a=5.3205 b=5.3205 c=2.8472 alpha=90.00 beta=90.00 gamma=90.00
Space group P4/nmm (No. 129, origin choice 2)
Inequivalent atoms, fractional coordinates:
1 Na 0.2500 0.7500 0.0000 (multiplicity 2)
2 B 0.2500 0.2500 0.3668 (multiplicity 2)
3 C 0.2500 0.2500 0.8631 (multiplicity 2)